1.
A geometry-optimized CeSmPaN3 structure, computed with PBE-GGA.

Raw formation energy (meV/atom): -1077
Magnetic moment (μB/f.u.): 0.69
Energy (eV per cell): -103.17

Cell lengths 3.6706, 7.1884, 9.1849 Å; angles 93.28, 90.00, 90.00 degrees
With the nearest neighbours (Å) after each atom.
Element x y z (fractional)
Ce  0.7500  0.8516  0.8814  5 N 2.41-2.69
Ce  0.2500  0.1484  0.1186  5 N 2.41-2.69
Sm  0.2500  0.6176  0.1497  6 N 2.41-2.63
Sm  0.7500  0.3824  0.8503  6 N 2.41-2.63
Pa  0.2500  0.0719  0.6092  3 N 2.15-2.27
Pa  0.7500  0.9281  0.3908  3 N 2.15-2.27
N  0.2500  0.7715  0.3934  2 Pa 2.15
N  0.7500  0.8786  0.1441  1 Pa 2.27, 1 Ce 2.41
N  0.7500  0.3646  0.1119  2 Ce 2.41, 3 Sm 2.41-2.59
N  0.7500  0.2285  0.6066  2 Pa 2.15
N  0.2500  0.6354  0.8881  2 Ce 2.41, 3 Sm 2.41-2.59
N  0.2500  0.1214  0.8559  1 Pa 2.27, 1 Ce 2.41



2.
A geometry-optimized CeSm3Pa2N6 structure, computed with PBE-GGA.

Raw formation energy (meV/atom): -1592
Magnetic moment (μB/f.u.): 0.00
Energy (eV per cell): -108.14

Cell lengths 6.1590, 6.1590, 6.1486 Å; angles 99.60, 99.60, 120.00 degrees
With the nearest neighbours (Å) after each atom.
Element x y z (fractional)
Ce  0.0000  0.0000  0.0000  6 N 2.50-2.51
Sm  0.1653  0.8347  0.5000  6 N 2.54-2.63
Sm  0.8347  0.1653  0.5000  6 N 2.54-2.63
Sm  0.5000  0.5000  0.5000  6 N 2.53-2.63
Pa  0.3331  0.6669  0.0000  6 N 2.40
Pa  0.6669  0.3331  0.0000  6 N 2.40
N  0.9242  0.5773  0.7734  2 Pa 2.40, 1 Ce 2.51, 3 Sm 2.54-2.63
N  0.7279  0.7279  0.2250  2 Pa 2.40, 1 Ce 2.50, 3 Sm 2.53-2.62
N  0.0758  0.4227  0.2266  2 Pa 2.40, 1 Ce 2.51, 3 Sm 2.54-2.63
N  0.5773  0.9242  0.7734  2 Pa 2.40, 1 Ce 2.51, 3 Sm 2.54-2.63
N  0.2721  0.2721  0.7750  2 Pa 2.40, 1 Ce 2.50, 3 Sm 2.53-2.62
N  0.4227  0.0758  0.2266  2 Pa 2.40, 1 Ce 2.51, 3 Sm 2.54-2.63



3.
A geometry-optimized CeSmPa2N4 structure, computed with PBE-GGA.

Raw formation energy (meV/atom): -1606
Magnetic moment (μB/f.u.): 0.00
Energy (eV per cell): -75.79

Cell lengths 3.5469, 6.1509, 6.1086 Å; angles 109.58, 90.00, 90.00 degrees
With the nearest neighbours (Å) after each atom.
Element x y z (fractional)
Ce  0.0000  0.0000  0.0000  6 N 2.60-2.61
Sm  0.5000  0.5000  0.0000  6 N 2.59-2.60
Pa  0.5000  0.0000  0.5000  6 N 2.42-2.43
Pa  0.0000  0.5000  0.5000  6 N 2.41
N  0.5000  0.2604  0.2765  3 Pa 2.41-2.43, 1 Sm 2.59, 2 Ce 2.60
N  0.5000  0.7396  0.7235  3 Pa 2.41-2.43, 1 Sm 2.59, 2 Ce 2.60
N  0.0000  0.2419  0.7221  3 Pa 2.41-2.42, 2 Sm 2.60, 1 Ce 2.61
N  0.0000  0.7581  0.2779  3 Pa 2.41-2.42, 2 Sm 2.60, 1 Ce 2.61